First-principles (PBE+U) data for an optimized crystal structure of NaCu3Mo4O12, as listed in Alexandria.

The value obtained for the magnetic moment is 3.92 μB per formula unit. The calculation puts the volume at 446.6 Å³ per cell. The value obtained for the total energy is -6.44 eV per atom.

Cell lengths 7.644, 7.644, 7.644 Å; angles 90.00, 90.00, 90.00 degrees
Space group Im-3 (No. 204)
Asymmetric unit:
Na1 0.000 0.000 0.000 (multiplicity 2)
Cu1 0.000 0.000 0.500 (multiplicity 6)
Mo1 0.250 0.250 0.250 (multiplicity 8)
O1 0.000 0.176 0.308 (multiplicity 24)